No. 1
A plane-wave DFT calculation with GGA-PBE was carried out for a relaxed MgP2PtS crystal.

Cell: 4.697 4.697 4.578 Å, 90.00 90.00 90.00°
Sites, in units of the cell vectors:
Mg (0.000, 0.000, 0.000)
P (0.000, 0.500, 0.000)
P (0.500, 0.000, 0.000)
Pt (0.500, 0.500, 0.500)
S (0.000, 0.000, 0.500)

The symmetry is No. 123. The energy relative to the elements, uncorrected comes out at 5.39 eV per formula unit. Its energy above the most stable polymorph in this dataset is 664.7 meV per atom. As for the uncorrected energy: -3.438 eV per atom.

***

No. 2
A plane-wave DFT calculation with GGA-PBE was carried out for a relaxed ScNi2Rh2 crystal.

Cell: 6.993 6.993 2.954 Å, 90.00 90.00 90.00°
Sites, in units of the cell vectors:
Sc (0.000, 0.000, 0.000)
Sc (0.500, 0.500, 0.000)
Ni (0.167, 0.333, 0.500)
Ni (0.333, 0.833, 0.500)
Ni (0.667, 0.167, 0.500)
Ni (0.833, 0.667, 0.500)
Rh (0.133, 0.633, 0.000)
Rh (0.367, 0.133, 0.000)
Rh (0.633, 0.867, 0.000)
Rh (0.867, 0.367, 0.000)

The symmetry is No. 127. As for the energy of formation: -19 kJ/mol of atoms. Its energy above the most stable polymorph in this dataset is 52.7 meV per atom. As for the uncorrected energy: -6.712 eV per atom.

***

No. 3
A plane-wave DFT calculation with GGA-PBE was carried out for a relaxed Ce5Bi2IrO crystal.

Cell: 4.629 4.629 11.695 Å, 90.00 90.00 90.00°
Sites, in units of the cell vectors:
Ce (0.000, 0.000, 0.000)
Ce (0.000, 0.500, 0.500)
Ce (0.500, 0.000, 0.500)
Ce (0.500, 0.500, 0.220)
Ce (0.500, 0.500, 0.780)
Bi (0.000, 0.000, 0.288)
Bi (0.000, 0.000, 0.712)
Ir (0.500, 0.500, 0.000)
O (0.500, 0.500, 0.500)

The symmetry is No. 123. The energy relative to the elements, uncorrected comes out at -9.46 eV per formula unit. As for the uncorrected energy: -6.746 eV per atom.

***

No. 4
A plane-wave DFT calculation with GGA-PBE was carried out for a relaxed SiAg2Pb crystal.

Cell: 4.918 4.918 4.918 Å, 60.00 60.00 60.00°
Sites, in units of the cell vectors:
Si (0.000, 0.000, 0.000)
Ag (0.250, 0.250, 0.250)
Ag (0.750, 0.750, 0.750)
Pb (0.500, 0.500, 0.500)

The symmetry is No. 225. The energy relative to the elements, uncorrected comes out at 1.43 eV per formula unit. Its energy above the most stable polymorph in this dataset is 91.5 meV per atom. As for the uncorrected energy: -3.350 eV per atom.

***

No. 5
A plane-wave DFT calculation with GGA-PBE was carried out for a relaxed LiPaRh4 crystal.

Cell: 5.125 7.769 5.143 Å, 90.00 112.50 90.00°
Sites, in units of the cell vectors:
Li (0.000, 0.000, 0.000)
Li (0.000, 0.500, 0.500)
Pa (0.500, 0.000, 0.500)
Pa (0.500, 0.500, 0.000)
Rh (0.121, 0.163, 0.602)
Rh (0.121, 0.337, 0.102)
Rh (0.378, 0.662, 0.401)
Rh (0.378, 0.838, 0.901)
Rh (0.622, 0.162, 0.099)
Rh (0.622, 0.338, 0.599)
Rh (0.879, 0.663, 0.898)
Rh (0.879, 0.837, 0.398)

The symmetry is No. 14. As for the energy of formation: -41 kJ/mol of atoms. Its energy above the most stable polymorph in this dataset is 58.7 meV per atom. As for the uncorrected energy: -7.228 eV per atom.

***

No. 6
A plane-wave DFT calculation with GGA-PBE was carried out for a relaxed MgIrBr2 crystal.

Cell: 3.441 3.441 9.404 Å, 90.00 90.00 118.68°
Sites, in units of the cell vectors:
Mg (0.000, 0.000, 0.000)
Ir (0.500, 0.500, 0.232)
Br (0.000, 0.000, 0.415)
Br (0.500, 0.500, 0.807)

The symmetry is No. 35. The energy relative to the elements, uncorrected comes out at 0.09 eV per formula unit. Its energy above the most stable polymorph in this dataset is 258.4 meV per atom. As for the uncorrected energy: -3.429 eV per atom.